No. 1
VASP calculation (PBE-GGA) on BaSc2Mn after structural relaxation.

a b c (Å): 3.471 4.897 7.140
angles (deg): 90.00 103.90 90.00
Positions (direct):
Ba 0.000 0.000 0.000
Sc 0.307 0.500 0.620
Sc 0.730 0.000 0.466
Mn 0.647 0.500 0.294

Computed properties:
- Energy above the most stable polymorph in this dataset: 0.152 eV/atom
- Formation energy: 0.39 eV/atom
- Space-group type: Pm, No. 6
- Magnetic moment: 1.967 μB/cell

No. 2
VASP calculation (PBE-GGA) on V4FeW after structural relaxation.

a b c (Å): 2.982 2.982 8.967
angles (deg): 90.00 90.00 90.00
Positions (direct):
V 0.000 0.000 0.158
V 0.000 0.000 0.842
V 0.500 0.500 0.324
V 0.500 0.500 0.676
Fe 0.500 0.500 0.000
W 0.000 0.000 0.500

Computed properties:
- Energy above the most stable polymorph in this dataset: 0.000 eV/atom
- Formation energy: -0.10 eV/atom
- Space-group type: P4/mmm, No. 123
- Magnetic moment: 0.112 μB/cell

No. 3
VASP calculation (PBE-GGA) on BeReW2 after structural relaxation.

a b c (Å): 2.688 4.319 5.109
angles (deg): 90.00 100.03 90.00
Positions (direct):
Be 0.000 0.000 0.000
Re 0.855 0.500 0.253
W 0.365 0.500 0.774
W 0.603 0.000 0.495

Computed properties:
- Formation energy: 0.17 eV/atom
- Space-group type: Pm, No. 6
- Magnetic moment: 0.000 μB/cell